# PrCu4Sb3O12, relaxed, DFT PBE
# V (Å³ per cell): 797.5
# Energy relative to the elements, uncorrected (eV per atom): -1.280
# D(E_F) (states/eV/f.u.): 7.31
# Total energy (eV per atom): -5.9317
data_PrCu4Sb3O12
_space_group_name_H-M_alt 'R 3 2'
_space_group_IT_number 155
_space_group_name_Hall 'R 3 2"'
_cell_length_a 10.9392
_cell_length_b 10.9392
_cell_length_c 7.6949
_cell_angle_alpha 90.00
_cell_angle_beta 90.00
_cell_angle_gamma 120.00
loop_
_atom_site_label
_atom_site_fract_x
_atom_site_fract_y
_atom_site_fract_z
Pr1 0.0000 0.0000 0.0000
Cu1 0.0000 0.0000 0.5000
Cu2 0.0000 0.4003 0.5000
Sb1 0.0000 0.5711 0.0000
O1 0.0000 0.5927 0.5000
O2 0.0000 0.8275 0.5000
O3 0.0615 0.2046 0.1996